No. 1
Here is a relaxed structure of Zn2InPd2 from the Alexandria database. Energies are from GGA-PBE.

abc: 7.3294 7.3294 3.0931
angles: 90.00 90.00 90.00
Atoms (fractional coordinates):
Zn  0.1464  0.6464  0.5000
Zn  0.6464  0.8536  0.5000
Zn  0.8536  0.3536  0.5000
Zn  0.3536  0.1464  0.5000
Pd  0.3519  0.8519  0.0000
Pd  0.8519  0.6481  0.0000
Pd  0.6481  0.1481  0.0000
Pd  0.1481  0.3519  0.0000
In  0.0000  0.0000  0.0000
In  0.5000  0.5000  0.0000

Computed properties:
* D(E_F): 4.21 states/eV per cell
* energy of formation: -0.401 eV per atom
* energy relative to the lowest polymorph listed for this composition: 0.000 eV per atom
* magnetization: 0.000 μB per atom
* ρ: 9.16 Mg/m³
* total DFT energy (no corrections): -3.5349 eV per atom

=====

No. 2
Here is a relaxed structure of ZnIn2Pd3 from the Alexandria database. Energies are from GGA-PBE.

abc: 3.2119 3.2119 9.7629
angles: 90.00 90.00 90.00
Atoms (fractional coordinates):
Zn  0.5000  0.5000  0.5000
In  0.5000  0.5000  0.8237
In  0.5000  0.5000  0.1763
Pd  0.0000  0.0000  0.0000
Pd  0.0000  0.0000  0.6503
Pd  0.0000  0.0000  0.3497

Computed properties:
* D(E_F): 2.19 states/eV per cell
* energy of formation: -0.497 eV per atom
* magnetization: 0.000 μB per atom
* ρ: 10.13 Mg/m³
* total DFT energy (no corrections): -4.2182 eV per atom

=====

No. 3
Here is a relaxed structure of ZnInPd4 from the Alexandria database. Energies are from GGA-PBE.

abc: 2.9470 7.4335 17.5259
angles: 90.00 90.00 90.00
Atoms (fractional coordinates):
Zn  0.7500  0.2488  0.4469
Zn  0.2500  0.7512  0.5531
Zn  0.2500  0.2512  0.9469
Zn  0.7500  0.7488  0.0531
In  0.7500  0.7273  0.8135
In  0.2500  0.2727  0.1865
In  0.2500  0.7727  0.3135
In  0.7500  0.2273  0.6865
Pd  0.7500  0.8657  0.6649
Pd  0.2500  0.1343  0.3351
Pd  0.2500  0.6343  0.1649
Pd  0.7500  0.3657  0.8351
Pd  0.7500  0.8924  0.4420
Pd  0.2500  0.1076  0.5580
Pd  0.2500  0.6076  0.9420
Pd  0.7500  0.3924  0.0580
Pd  0.7500  0.9626  0.9332
Pd  0.2500  0.0374  0.0668
Pd  0.2500  0.5374  0.4332
Pd  0.7500  0.4626  0.5668
Pd  0.7500  0.9541  0.2022
Pd  0.2500  0.0459  0.7978
Pd  0.2500  0.5459  0.7022
Pd  0.7500  0.4541  0.2978

Computed properties:
* D(E_F): 12.50 states/eV per cell
* energy of formation: -0.411 eV per atom
* energy relative to the lowest polymorph listed for this composition: 0.000 eV per atom
* magnetization: 0.000 μB per atom
* ρ: 10.48 Mg/m³
* total DFT energy (no corrections): -4.5416 eV per atom